[1]
A plane-wave DFT calculation with PBE was carried out for crystalline MnGe3H at its relaxed geometry.

Summary:
ρ ... 6.08 g/cm³
Uncorrected energy ... -4.828 eV per atom
M_tot ... 3.81 μB/f.u.

Cell and atoms, written as POSCAR:
```
MnGe3H
1.0
4.213 0.000 0.000
0.000 4.213 0.000
0.000 0.000 4.213
Mn Ge H
1 3 1
Cartesian
0.000 0.000 0.000
0.000 2.106 2.106
2.106 0.000 2.106
2.106 2.106 0.000
2.106 2.106 2.106
```

=====

[2]
A plane-wave DFT calculation with PBE was carried out for crystalline Mn2GeH at its relaxed geometry.

Summary:
ρ ... 7.07 g/cm³
M_tot ... 4.95 μB/f.u.
Energy relative to the lowest polymorph listed for this composition ... 0.000 eV per atom

Cell and atoms, written as POSCAR:
```
Mn2GeH
1.0
5.177 0.000 0.000
0.000 3.549 0.000
0.000 0.000 9.381
Mn Ge H
8 4 4
Cartesian
0.298 0.887 2.346
0.985 0.887 5.323
1.603 2.662 0.633
2.290 2.662 7.036
2.887 0.887 2.345
3.573 0.887 8.749
4.191 2.662 4.058
4.878 2.662 7.036
0.990 0.887 8.207
1.598 2.662 3.516
3.578 0.887 5.865
4.186 2.662 1.175
0.992 2.662 5.883
1.596 0.887 1.192
3.580 2.662 8.189
4.185 0.887 3.498
```

=====

[3]
A plane-wave DFT calculation with PBE was carried out for crystalline Mn3GeH at its relaxed geometry.

Summary:
ρ ... 8.17 g/cm³
M_tot ... 0.01 μB/f.u.
Energy relative to the lowest polymorph listed for this composition ... 0.169 eV per atom

Cell and atoms, written as POSCAR:
```
Mn3GeH
1.0
4.168 -5.104 0.000
4.168 5.104 0.000
-0.245 0.000 4.557
Mn Ge H
12 4 4
Cartesian
0.973 0.682 0.402
3.069 3.172 1.840
0.850 -0.682 2.681
2.872 1.857 4.258
5.146 3.172 0.438
5.098 1.857 2.577
2.994 -1.857 1.980
2.947 -3.172 4.118
5.220 -1.857 0.299
7.242 0.682 1.876
5.023 -3.172 2.717
7.120 -0.682 4.154
2.872 0.746 2.021
2.750 -0.746 4.299
5.342 0.746 0.258
5.220 -0.746 2.536
4.107 4.481 1.139
3.985 3.089 3.418
4.107 -3.089 1.139
3.985 -4.481 3.418
```

=====

Question: Among the records above, which one has the highest M_tot?
Answer: Mn2GeH

=====

Question: Which formula does entry 1 have?
Answer: MnGe3H